Record 1
The following is a PBE calculation of Y2Zn2CuNi5 after structural relaxation, from the Alexandria database.

The value obtained for the calculated density is 7.4 g cm⁻³. For the formation energy from the elements, the calculation gives -0.191 eV per atom.

abc: 9.175 9.175 3.569
angles: 90.00 90.00 90.00
Element x y z (fractional)
Y: 0.179 0.321 0.000
Y: 0.321 0.821 0.000
Y: 0.679 0.179 0.000
Y: 0.821 0.679 0.000
Zn: 0.119 0.619 0.000
Zn: 0.381 0.119 0.000
Zn: 0.619 0.881 0.000
Zn: 0.881 0.381 0.000
Cu: 0.000 0.000 0.000
Cu: 0.500 0.500 0.000
Ni: 0.000 0.500 0.500
Ni: 0.058 0.802 0.500
Ni: 0.198 0.058 0.500
Ni: 0.302 0.558 0.500
Ni: 0.442 0.302 0.500
Ni: 0.500 0.000 0.500
Ni: 0.558 0.698 0.500
Ni: 0.698 0.442 0.500
Ni: 0.802 0.942 0.500
Ni: 0.942 0.198 0.500


Record 2
The following is a PBE calculation of RbIn2Pb after structural relaxation, from the Alexandria database.

The value obtained for the calculated density is 6.6 g cm⁻³. For the formation energy from the elements, the calculation gives 0.099 eV per atom.

abc: 5.083 5.083 5.115
angles: 90.00 90.00 90.00
Element x y z (fractional)
Rb: 0.000 0.000 0.000
In: 0.000 0.500 0.500
In: 0.500 0.000 0.500
Pb: 0.500 0.500 0.000


Record 3
The following is a PBE calculation of NaZnSb after structural relaxation, from the Alexandria database.

The value obtained for the calculated density is 4.7 g cm⁻³. The value obtained for the total energy is -2.542 eV/atom.

abc: 4.473 4.473 7.485
angles: 90.00 90.00 90.00
Element x y z (fractional)
Na: 0.250 0.250 0.157
Na: 0.750 0.750 0.843
Zn: 0.250 0.750 0.500
Zn: 0.750 0.250 0.500
Sb: 0.250 0.250 0.724
Sb: 0.750 0.750 0.276


Record 4
The following is a PBE calculation of PmPr6Sm2Th after structural relaxation, from the Alexandria database.

The value obtained for the calculated density is 7.1 g cm⁻³. For the formation energy from the elements, the calculation gives 0.140 eV per atom.

abc: 8.932 8.932 10.118
angles: 95.30 95.30 116.89
Element x y z (fractional)
Pm: 0.095 0.905 0.750
Pm: 0.905 0.095 0.250
Pr: 0.004 0.801 0.379
Pr: 0.078 0.515 0.187
Pr: 0.199 0.996 0.121
Pr: 0.248 0.608 0.555
Pr: 0.392 0.752 0.945
Pr: 0.485 0.922 0.313
Pr: 0.515 0.078 0.687
Pr: 0.608 0.248 0.055
Pr: 0.752 0.392 0.445
Pr: 0.801 0.004 0.879
Pr: 0.922 0.485 0.813
Pr: 0.996 0.199 0.621
Sm: 0.219 0.309 0.954
Sm: 0.309 0.219 0.454
Sm: 0.691 0.781 0.546
Sm: 0.781 0.691 0.046
Th: 0.480 0.520 0.250
Th: 0.520 0.480 0.750


Record 5
The following is a PBE calculation of Ta2SbRu after structural relaxation, from the Alexandria database.

The value obtained for the calculated density is 13.9 g cm⁻³. The value obtained for the total energy is -9.368 eV/atom.

abc: 5.394 5.394 5.394
angles: 143.42 131.03 62.65
Element x y z (fractional)
Ta: 0.245 0.245 0.000
Ta: 0.755 0.755 0.000
Sb: 0.500 0.000 0.500
Ru: 0.000 0.500 0.500


Record 6
The following is a PBE calculation of Ce2DyOs after structural relaxation, from the Alexandria database.

The value obtained for the calculated density is 10.1 g cm⁻³. For the formation energy from the elements, the calculation gives -0.151 eV per atom. Its excess energy over the best structure of this formula in the dataset is 0.0 meV/atom.

abc: 14.386 9.609 6.010
angles: 90.00 90.00 90.00
Element x y z (fractional)
Ce: 0.037 0.057 0.247
Ce: 0.037 0.443 0.247
Ce: 0.213 0.563 0.941
Ce: 0.213 0.937 0.941
Ce: 0.287 0.063 0.441
Ce: 0.287 0.437 0.441
Ce: 0.463 0.557 0.747
Ce: 0.463 0.943 0.747
Ce: 0.537 0.057 0.253
Ce: 0.537 0.443 0.253
Ce: 0.713 0.563 0.559
Ce: 0.713 0.937 0.559
Ce: 0.787 0.063 0.059
Ce: 0.787 0.437 0.059
Ce: 0.963 0.557 0.753
Ce: 0.963 0.943 0.753
Dy: 0.104 0.250 0.735
Dy: 0.143 0.750 0.463
Dy: 0.357 0.250 0.963
Dy: 0.396 0.750 0.235
Dy: 0.604 0.250 0.765
Dy: 0.643 0.750 0.037
Dy: 0.857 0.250 0.537
Dy: 0.896 0.750 0.265
Os: 0.070 0.750 0.992
Os: 0.178 0.250 0.214
Os: 0.322 0.750 0.714
Os: 0.430 0.250 0.492
Os: 0.570 0.750 0.508
Os: 0.678 0.250 0.286
Os: 0.822 0.750 0.786
Os: 0.930 0.250 0.008


Record 7
The following is a PBE calculation of Sn2PCl after structural relaxation, from the Alexandria database.

The value obtained for the calculated density is 5.5 g cm⁻³. Its excess energy over the best structure of this formula in the dataset is 237.7 meV/atom.

abc: 5.060 5.060 5.060
angles: 60.00 60.00 60.00
Element x y z (fractional)
Sn: 0.250 0.250 0.250
Sn: 0.750 0.750 0.750
P: 0.000 0.000 0.000
Cl: 0.500 0.500 0.500


Record 8
The following is a PBE calculation of SrIr4Se after structural relaxation, from the Alexandria database.

The value obtained for the calculated density is 14.1 g cm⁻³. The value obtained for the total energy is -6.462 eV/atom.

abc: 5.377 5.377 5.377
angles: 60.00 60.00 60.00
Element x y z (fractional)
Sr: 0.000 0.000 0.000
Ir: 0.125 0.625 0.625
Ir: 0.625 0.125 0.625
Ir: 0.625 0.625 0.125
Ir: 0.625 0.625 0.625
Se: 0.250 0.250 0.250


Q: Number 5 is which compound?
A: Ta2SbRu


Copy entry 8 word for word.
The following is a PBE calculation of SrIr4Se after structural relaxation, from the Alexandria database.

The value obtained for the calculated density is 14.1 g cm⁻³. The value obtained for the total energy is -6.462 eV/atom.

abc: 5.377 5.377 5.377
angles: 60.00 60.00 60.00
Element x y z (fractional)
Sr: 0.000 0.000 0.000
Ir: 0.125 0.625 0.625
Ir: 0.625 0.125 0.625
Ir: 0.625 0.625 0.125
Ir: 0.625 0.625 0.625
Se: 0.250 0.250 0.250


Q: Which formula does entry 6 have?
A: Ce2DyOs